1.
An optimized crystal structure of KNaTa2, computed with PBEsol.

Cell: 7.076 7.076 7.076 Å, 90.00 90.00 90.00°
Space group Fm-3m (No. 225)
Unique sites:
K 0.000 0.000 0.000
Na 0.000 0.000 0.500
Ta 0.250 0.250 0.250

For the calculated formation energy, the calculation gives 2313 meV/atom. As for the final energy: -73.54 eV/cell.

2.
An optimized crystal structure of K2NaTc, computed with PBEsol.

Cell: 8.332 8.332 8.332 Å, 90.00 90.00 90.00°
Space group Fm-3m (No. 225)
Unique sites:
K 0.250 0.250 0.250
Na 0.000 0.000 0.000
Tc 0.000 0.000 0.500

For the calculated formation energy, the calculation gives 1337 meV/atom. As for the final energy: -38.35 eV/cell.

3.
An optimized crystal structure of K3NaTe, computed with PBEsol.

Cell: 6.249 6.249 6.249 Å, 90.00 90.00 90.00°
Space group Pm-3m (No. 221)
Unique sites:
K 0.000 0.000 0.500
Na 0.000 0.000 0.000
Te 0.500 0.500 0.500

For the formation energy from raw total energies, the calculation gives -0.053 eV/atom. As for the final energy: -8.59 eV/cell.

4.
An optimized crystal structure of K2NaTl, computed with PBEsol.

Cell: 8.731 8.731 8.731 Å, 90.00 90.00 90.00°
Space group Fm-3m (No. 225)
Unique sites:
K 0.250 0.250 0.250
Na 0.000 0.000 0.000
Tl 0.000 0.000 0.500

For the calculated formation energy, the calculation gives 37 meV/atom. As for the final energy: -24.59 eV/cell.

5.
An optimized crystal structure of KNa2Tl2, computed with PBEsol.

Cell: 4.877 4.877 14.470 Å, 90.00 90.00 90.00°
Space group I4/mmm (No. 139)
Unique sites:
K 0.000 0.000 0.000
Na 0.000 0.500 0.250
Tl 0.000 0.000 0.398

For the calculated formation energy, the calculation gives -13 meV/atom. As for the final energy: -18.52 eV/cell.

6.
An optimized crystal structure of KNaTl3, computed with PBEsol.

Cell: 6.020 6.020 6.020 Å, 90.00 90.00 90.00°
Space group Pm-3m (No. 221)
Unique sites:
K 0.000 0.000 0.000
Na 0.500 0.500 0.500
Tl 0.000 0.000 0.500

For the calculated formation energy, the calculation gives 559 meV/atom. As for the final energy: -7.63 eV/cell.

7.
An optimized crystal structure of KNa3Tl, computed with PBEsol.

Cell: 5.997 5.997 5.997 Å, 90.00 90.00 90.00°
Space group Pm-3m (No. 221)
Unique sites:
K 0.000 0.000 0.000
Na 0.000 0.500 0.500
Tl 0.500 0.500 0.500

For the calculated formation energy, the calculation gives 26 meV/atom. As for the final energy: -7.83 eV/cell.

8.
An optimized crystal structure of KNa2Tl2, computed with PBEsol.

Cell: 9.423 9.423 3.500 Å, 90.00 90.00 90.00°
Space group P4/mbm (No. 127)
Unique sites:
K 0.000 0.000 0.000
Na 0.175 0.325 0.500
Tl 0.117 0.617 0.000

For the calculated formation energy, the calculation gives -67 meV/atom. As for the final energy: -19.05 eV/cell.

9.
An optimized crystal structure of K2Na2Tl, computed with PBEsol.

Cell: 8.326 8.326 6.047 Å, 90.00 90.00 90.00°
Space group P4/mbm (No. 127)
Unique sites:
K 0.185 0.315 0.000
Na 0.146 0.646 0.500
Tl 0.000 0.000 0.500

For the calculated formation energy, the calculation gives 25 meV/atom. As for the final energy: -15.14 eV/cell.

10.
An optimized crystal structure of K6Na4Tl13, computed with PBEsol.

Cell: 11.408 11.408 11.408 Å, 90.00 90.00 90.00°
Space group Im-3 (No. 204)
Unique sites:
K 0.000 0.329 0.500
Na 0.250 0.250 0.250
Tl 0.000 0.000 0.000
Tl 0.000 0.142 0.243

For the calculated formation energy, the calculation gives -135 meV/atom. As for the final energy: -99.39 eV/cell.

11.
An optimized crystal structure of KNaZr3, computed with PBEsol.

Cell: 5.216 5.216 5.216 Å, 90.00 90.00 90.00°
Space group Pm-3m (No. 221)
Unique sites:
K 0.000 0.000 0.000
Na 0.500 0.500 0.500
Zr 0.000 0.500 0.500

For the calculated formation energy, the calculation gives 1707 meV/atom. As for the final energy: -21.27 eV/cell.

12.
An optimized crystal structure of KNbNi3, computed with PBEsol.

Cell: 4.322 4.322 4.322 Å, 90.00 90.00 90.00°
Space group Pm-3m (No. 221)
Unique sites:
K 0.000 0.000 0.000
Nb 0.500 0.500 0.500
Ni 0.000 0.000 0.500

For the calculated formation energy, the calculation gives 2143 meV/atom. As for the final energy: -19.71 eV/cell.

13.
An optimized crystal structure of KNb2NiW, computed with PBEsol.

Cell: 4.622 4.622 4.039 Å, 90.00 90.00 90.00°
Space group P4/mmm (No. 123)
Unique sites:
K 0.000 0.000 0.000
Nb 0.000 0.500 0.000
Ni 0.000 0.000 0.500
W 0.500 0.500 0.500

For the calculated formation energy, the calculation gives 2569 meV/atom. As for the final energy: -29.89 eV/cell.

14.
An optimized crystal structure of KNb3O, computed with PBEsol.

Cell: 4.393 4.393 4.393 Å, 90.00 90.00 90.00°
Space group Pm-3m (No. 221)
Unique sites:
K 0.000 0.000 0.000
Nb 0.000 0.500 0.500
O 0.500 0.500 0.500

For the formation energy from raw total energies, the calculation gives 0.312 eV/atom. As for the final energy: -37.29 eV/cell.

15.
An optimized crystal structure of KNb3O8, computed with PBEsol.

Cell: 3.822 21.412 8.978 Å, 90.00 90.00 90.00°
Space group Cmcm (No. 63)
Unique sites:
K 0.000 0.017 0.250
Nb 0.000 0.241 0.750
Nb 0.000 0.368 0.059
O 0.000 0.157 0.593
O 0.000 0.286 0.250
O 0.000 0.296 0.592
O 0.000 0.414 0.250
O 0.000 0.432 0.568

For the formation energy from raw total energies, the calculation gives -2.498 eV/atom. As for the final energy: -422.28 eV/cell.

16.
An optimized crystal structure of K6Nb11O30, computed with PBEsol.

Cell: 3.931 18.244 18.265 Å, 90.00 90.00 90.00°
Space group Amm2 (No. 38)
Unique sites:
K 0.000 0.000 0.000
K 0.000 0.000 0.324
K 0.000 0.180 0.686
K 0.000 0.241 0.908
Nb 0.000 0.000 0.536
Nb 0.500 0.000 0.171
Nb 0.500 0.000 0.674
Nb 0.500 0.106 0.851
Nb 0.500 0.121 0.474
Nb 0.500 0.174 0.060
Nb 0.500 0.187 0.266
O 0.000 0.000 0.162
O 0.000 0.000 0.645
O 0.000 0.094 0.480
O 0.000 0.108 0.840
O 0.000 0.186 0.271
O 0.000 0.188 0.050
O 0.500 0.000 0.459
O 0.500 0.000 0.873
O 0.500 0.068 0.577
O 0.500 0.076 0.084
O 0.500 0.078 0.242
O 0.500 0.079 0.735
O 0.500 0.143 0.947
O 0.500 0.146 0.376
O 0.500 0.213 0.161
O 0.500 0.213 0.514
O 0.500 0.213 0.805

For the formation energy from raw total energies, the calculation gives -2.437 eV/atom. As for the final energy: -795.67 eV/cell.

17.
An optimized crystal structure of KNbPO2, computed with PBEsol.

Cell: 3.978 3.978 5.163 Å, 90.00 90.00 90.00°
Space group P4/mmm (No. 123)
Unique sites:
K 0.000 0.000 0.000
Nb 0.500 0.500 0.500
P 0.000 0.000 0.500
O 0.000 0.500 0.000

For the formation energy from raw total energies, the calculation gives 1.221 eV/atom. As for the final energy: -22.14 eV/cell.

18.
An optimized crystal structure of KNbP2O8, computed with PBEsol.

Cell: 5.201 11.872 12.808 Å, 90.00 112.57 90.00°
Space group P2_1/c (No. 14)
Unique sites:
K 0.180 0.135 0.446
Nb 0.411 0.124 0.169
P 0.108 0.688 0.851
P 0.115 0.063 0.864
O 0.058 0.173 0.785
O 0.067 0.221 0.120
O 0.134 0.581 0.914
O 0.172 0.515 0.652
O 0.267 0.523 0.318
O 0.280 0.106 0.981
O 0.387 0.742 0.862
O 0.490 0.644 0.185

For the formation energy from raw total energies, the calculation gives -2.357 eV/atom. As for the final energy: -375.25 eV/cell.

19.
An optimized crystal structure of KNb2PO8, computed with PBEsol.

Cell: 13.4832 13.4832 10.4380 Å, 90.00 90.00 120.00°
Space group R3 (No. 146, hexagonal axes)
Unique sites:
K 0.0175 0.7670 0.0000
Nb 0.0301 0.1729 0.4069
Nb 0.1694 0.0240 0.7703
P 0.1044 0.4345 0.7605
O 0.0121 0.8840 0.7944
O 0.0130 0.4467 0.4552
O 0.0261 0.1777 0.2110
O 0.1026 0.3462 0.0670
O 0.1300 0.1156 0.3964
O 0.1419 0.3339 0.4314
O 0.1526 0.0014 0.5925
O 0.1752 0.0250 0.9776

For the formation energy from raw total energies, the calculation gives -2.451 eV/atom. As for the final energy: -899.73 eV/cell.